PBE SrHoZn, relaxed; calculated volume = 92.3 Å³/cell; ΔE_f = -0.107 eV per atom; E above lowest polymorph = 0.008 eV per atom; symmetry = I4mm, No. 107
1.0
-1.863 1.863 6.647
1.863 -1.863 6.647
1.863 1.863 -6.647
Sr Ho Zn
1 1 1
Direct
0.000 0.000 0.000 Sr
0.272 0.272 0.000 Ho
0.664 0.664 0.000 Zn